# CaNbP2 PBE relaxed
# Calculated total energy in eV per atom: -6.648
# Theoretical density in kg/m3: 4165
# Energy of formation in eV/atom: -0.925
# Total magnetic moment in Bohr magnetons per cell: 0.00
data_CaNbP2
_cell_length_a 3.6673
_cell_length_b 3.6673
_cell_length_c 20.0187
_cell_angle_alpha 90.00
_cell_angle_beta 90.00
_cell_angle_gamma 120.00
_space_group_name_H-M_alt 'R -3 m'
_space_group_IT_number 166
_space_group_name_Hall '-R 3 2"'
loop_
_atom_site_label
_atom_site_fract_x
_atom_site_fract_y
_atom_site_fract_z
Ca1 0.0000 0.0000 0.0000
Nb1 0.0000 0.0000 0.5000
P1 0.0000 0.0000 0.2398